Entry i
## SrMg2Te2 (PBE-GGA)

Data for a geometry-optimized SrMg2Te2 structure.

Lattice parameters (Å, degrees): 4.319 4.319 8.647 75.54 75.54 90.00
Sites, in units of the cell vectors:
Sr (0.000, 0.000, 0.000)
Mg (0.750, 0.250, 0.500)
Mg (0.250, 0.750, 0.500)
Te (0.392, 0.392, 0.217)
Te (0.608, 0.608, 0.783)

DOS at the Fermi energy = 1.9 states/eV per cell



Entry ii
## SrMg2Te2 (PBE-GGA)

Data for a geometry-optimized SrMg2Te2 structure.

Lattice parameters (Å, degrees): 8.463 8.463 4.168 90.00 90.00 90.00
Sites, in units of the cell vectors:
Sr (0.000, 0.000, 0.000)
Sr (0.500, 0.500, 0.000)
Mg (0.140, 0.640, 0.500)
Mg (0.640, 0.860, 0.500)
Mg (0.860, 0.360, 0.500)
Mg (0.360, 0.140, 0.500)
Te (0.343, 0.843, 0.000)
Te (0.843, 0.657, 0.000)
Te (0.657, 0.157, 0.000)
Te (0.157, 0.343, 0.000)

DOS at the Fermi energy = 3.2 states/eV per cell



So which one is most stable? That would be entry i, about 3.4 kJ/mol of atoms below the next structure.



Entry i
## Sr2Mg2Te (PBE-GGA)

Data for a geometry-optimized Sr2Mg2Te structure.

Lattice parameters (Å, degrees): 8.758 8.758 5.280 90.00 90.00 90.00
Sites, in units of the cell vectors:
Sr (0.325, 0.825, 0.000)
Sr (0.825, 0.675, 0.000)
Sr (0.675, 0.175, 0.000)
Sr (0.175, 0.325, 0.000)
Mg (0.125, 0.625, 0.500)
Mg (0.625, 0.875, 0.500)
Mg (0.875, 0.375, 0.500)
Mg (0.375, 0.125, 0.500)
Te (0.000, 0.000, 0.000)
Te (0.500, 0.500, 0.000)

DOS at the Fermi energy = 5.2 states/eV per cell



Entry ii
## Sr2Mg2Te (PBE-GGA)

Data for a geometry-optimized Sr2Mg2Te structure.

Lattice parameters (Å, degrees): 8.217 8.217 5.161 90.00 90.00 90.00
Sites, in units of the cell vectors:
Sr (0.171, 0.671, 0.500)
Sr (0.671, 0.829, 0.500)
Sr (0.829, 0.329, 0.500)
Sr (0.329, 0.171, 0.500)
Mg (0.372, 0.872, 0.000)
Mg (0.872, 0.628, 0.000)
Mg (0.628, 0.128, 0.000)
Mg (0.128, 0.372, 0.000)
Te (0.000, 0.000, 0.000)
Te (0.500, 0.500, 0.000)

DOS at the Fermi energy = 7.6 states/eV per cell



So which one is most stable? That would be entry ii, about 3.3 kJ/mol of atoms below the next structure.



Entry i
## SrMg3Te (PBE-GGA)

Data for a geometry-optimized SrMg3Te structure.

Lattice parameters (Å, degrees): 6.261 6.261 6.261 90.00 90.00 90.00
Sites, in units of the cell vectors:
Sr (0.000, 0.000, 0.000)
Mg (0.000, 0.500, 0.000)
Mg (0.000, 0.000, 0.500)
Mg (0.500, 0.000, 0.000)
Te (0.500, 0.500, 0.500)

DOS at the Fermi energy = 2.2 states/eV per cell



Entry ii
## SrMg3Te (PBE-GGA)

Data for a geometry-optimized SrMg3Te structure.

Lattice parameters (Å, degrees): 5.660 5.660 5.660 90.00 90.00 90.00
Sites, in units of the cell vectors:
Sr (0.500, 0.500, 0.500)
Mg (0.000, 0.500, 0.000)
Mg (0.000, 0.000, 0.500)
Mg (0.500, 0.000, 0.000)
Te (0.000, 0.000, 0.000)

DOS at the Fermi energy = 3.7 states/eV per cell



So which one is most stable? That would be entry ii, about 71.8 kJ/mol of atoms below the next structure.